VASP calculation (PBE) on a geometry-optimized CsPrInSe3 structure.

Output
**Energy**: -4.338 eV per atom
**Symmetry**: No. 62
**Distance to the lowest polymorph of the same formula**: 1.0 kJ per mole of atoms

a b c (Å): 11.7024 5.0703 13.1662
angles (deg): 90.00 90.00 90.00
With the nearest neighbours (Å) after each atom.
Atoms (fractional coordinates):
Cs1 0.1657 0.2500 0.0139  8 Se 3.69-4.03, 3 In 3.81-4.02
Cs2 0.3343 0.7500 0.5139  8 Se 3.69-4.03, 3 In 3.81-4.02
Cs3 0.6657 0.2500 0.4861  8 Se 3.69-4.03, 3 In 3.81-4.02
Cs4 0.8343 0.7500 0.9861  8 Se 3.69-4.03, 3 In 3.81-4.02
Pr1 0.0270 0.2500 0.3336  7 Se 3.03-3.27
Pr2 0.4730 0.7500 0.8336  7 Se 3.03-3.27
Pr3 0.5270 0.2500 0.1664  7 Se 3.03-3.27
Pr4 0.9730 0.7500 0.6664  7 Se 3.03-3.27
In1 0.2237 0.2500 0.7292  4 Se 2.70-2.76
In2 0.2763 0.7500 0.2292  4 Se 2.70-2.76
In3 0.7237 0.2500 0.7708  4 Se 2.70-2.76
In4 0.7763 0.7500 0.2708  4 Se 2.70-2.76
Se1 0.0472 0.7500 0.1929  1 In 2.72
Se2 0.0897 0.2500 0.5571  1 In 2.76, 1 Pr 3.03
Se3 0.2091 0.7500 0.7989  2 In 2.70
Se4 0.2909 0.2500 0.2989  2 In 2.70
Se5 0.4103 0.7500 0.0571  1 In 2.76, 1 Pr 3.03
Se6 0.4528 0.2500 0.6929  1 In 2.72
Se7 0.5472 0.7500 0.3071  1 In 2.72
Se8 0.5897 0.2500 0.9429  1 In 2.76, 1 Pr 3.03
Se9 0.7091 0.7500 0.7011  2 In 2.70
Se10 0.7909 0.2500 0.2011  2 In 2.70
Se11 0.9103 0.7500 0.4429  1 In 2.76, 1 Pr 3.03
Se12 0.9528 0.2500 0.8071  1 In 2.72


VASP calculation (PBE) on a geometry-optimized CsPrInSe3 structure.

Output
**Energy**: -4.349 eV per atom
**Symmetry**: No. 63
**Distance to the lowest polymorph of the same formula**: 0.0 kJ per mole of atoms

a b c (Å): 8.2113 8.2113 11.4946
angles (deg): 90.00 90.00 145.69
With the nearest neighbours (Å) after each atom.
Atoms (fractional coordinates):
Cs1 0.2477 0.7523 0.7500  8 Se 3.79-4.08, 1 In 4.16
Cs2 0.7523 0.2477 0.2500  8 Se 3.79-4.08, 1 In 4.16
Pr1 0.5000 0.5000 0.0000  6 Se 3.03-3.11
Pr2 0.5000 0.5000 0.5000  6 Se 3.03-3.11
In1 0.0172 0.9828 0.2500  4 Se 2.72
In2 0.9828 0.0172 0.7500  4 Se 2.72
Se1 0.1173 0.8827 0.0569  1 In 2.72
Se2 0.1173 0.8827 0.4431  1 In 2.72
Se3 0.4381 0.5619 0.2500  2 In 2.72, 2 Pr 3.03
Se4 0.5619 0.4381 0.7500  2 In 2.72, 2 Pr 3.03
Se5 0.8827 0.1173 0.5569  1 In 2.72
Se6 0.8827 0.1173 0.9431  1 In 2.72


VASP calculation (PBE) on a geometry-optimized CsPrInTe3 structure.

Output
**Energy**: -3.920 eV per atom
**Symmetry**: No. 62
**Distance to the lowest polymorph of the same formula**: 0.3 kJ per mole of atoms

a b c (Å): 12.4869 5.3736 13.9121
angles (deg): 90.00 90.00 90.00
With the nearest neighbours (Å) after each atom.
Atoms (fractional coordinates):
Cs1 0.1816 0.2500 0.0127  8 Te 3.87-4.25, 3 In 4.05-4.14
Cs2 0.3184 0.7500 0.5127  8 Te 3.87-4.25, 3 In 4.05-4.14
Cs3 0.6816 0.2500 0.4873  8 Te 3.87-4.25, 3 In 4.05-4.14
Cs4 0.8184 0.7500 0.9873  8 Te 3.87-4.25, 3 In 4.05-4.14
Pr1 0.0250 0.2500 0.3249  7 Te 3.31-3.44
Pr2 0.4750 0.7500 0.8249  7 Te 3.31-3.44
Pr3 0.5250 0.2500 0.1751  7 Te 3.31-3.44
Pr4 0.9750 0.7500 0.6751  7 Te 3.31-3.44
In1 0.2305 0.2500 0.7250  4 Te 2.90-2.97
In2 0.2695 0.7500 0.2250  4 Te 2.90-2.97
In3 0.7305 0.2500 0.7750  4 Te 2.90-2.97
In4 0.7695 0.7500 0.2750  4 Te 2.90-2.97
Te1 0.0428 0.7500 0.1793  1 In 2.90
Te2 0.0808 0.2500 0.5595  1 In 2.97
Te3 0.2113 0.7500 0.8024  2 In 2.90
Te4 0.2887 0.2500 0.3024  2 In 2.90
Te5 0.4192 0.7500 0.0595  1 In 2.97
Te6 0.4572 0.2500 0.6793  1 In 2.90
Te7 0.5428 0.7500 0.3207  1 In 2.90
Te8 0.5808 0.2500 0.9405  1 In 2.97
Te9 0.7113 0.7500 0.6976  2 In 2.90
Te10 0.7887 0.2500 0.1976  2 In 2.90
Te11 0.9192 0.7500 0.4405  1 In 2.97
Te12 0.9572 0.2500 0.8207  1 In 2.90